(1)
The following is a PBE calculation of a geometry-optimized DyPaAlRe structure, from the Alexandria database.

Lattice parameters (Å, degrees): 6.835 6.835 6.835 90.00 90.00 90.00
Space group F-43m (No. 216)
One atom of each set of equivalent atoms:
Dy1 0.000 0.000 0.000 [4 per cell]
Pa1 0.250 0.250 0.250 [4 per cell]
Al1 0.250 0.250 0.750 [4 per cell]
Re1 0.000 0.000 0.500 [4 per cell]

Results
The calculation puts the formation energy at -0.0402 eV/atom.

---

(2)
The following is a PBE calculation of a geometry-optimized Dy2PaAl2Ru5 structure, from the Alexandria database.

Lattice parameters (Å, degrees): 10.151 10.151 3.424 90.00 90.00 90.00
Space group P4/mbm (No. 127)
One atom of each set of equivalent atoms:
Dy1 0.170 0.330 0.000 [4 per cell]
Pa1 0.000 0.000 0.000 [2 per cell]
Al1 0.126 0.626 0.000 [4 per cell]
Ru1 0.000 0.500 0.500 [2 per cell]
Ru2 0.070 0.798 0.500 [8 per cell]

Results
The calculation puts the formation energy at -0.5721 eV/atom.

---

(3)
The following is a PBE calculation of a geometry-optimized DyPaAlTc structure, from the Alexandria database.

Lattice parameters (Å, degrees): 7.012 7.012 7.012 90.00 90.00 90.00
Space group F-43m (No. 216)
One atom of each set of equivalent atoms:
Dy1 0.000 0.000 0.000 [4 per cell]
Pa1 0.000 0.000 0.500 [4 per cell]
Al1 0.250 0.250 0.750 [4 per cell]
Tc1 0.250 0.250 0.250 [4 per cell]

Results
The calculation puts the formation energy at -0.0925 eV/atom.

---

(4)
The following is a PBE calculation of a geometry-optimized Dy7Al2Pb2 structure, from the Alexandria database.

Lattice parameters (Å, degrees): 7.590 11.215 7.906 90.00 90.00 90.00
Space group Cmmm (No. 65)
One atom of each set of equivalent atoms:
Dy1 0.000 0.000 0.000 [2 per cell]
Dy2 0.000 0.500 0.221 [4 per cell]
Dy3 0.250 0.250 0.282 [8 per cell]
Al1 0.000 0.279 0.000 [4 per cell]
Pb1 0.201 0.000 0.500 [4 per cell]

Results
The calculation puts the formation energy at -0.0590 eV/atom.

---

(5)
The following is a PBE calculation of a geometry-optimized Dy6Al2Pb structure, from the Alexandria database.

Lattice parameters (Å, degrees): 9.638 9.790 10.804 90.00 90.00 90.00
Space group Immm (No. 71)
One atom of each set of equivalent atoms:
Dy1 0.000 0.205 0.179 [8 per cell]
Dy2 0.187 0.222 0.500 [8 per cell]
Dy3 0.205 0.500 0.260 [8 per cell]
Al1 0.000 0.000 0.380 [4 per cell]
Al2 0.141 0.000 0.000 [4 per cell]
Pb1 0.000 0.500 0.000 [2 per cell]
Pb2 0.000 0.500 0.500 [2 per cell]

Results
The calculation puts the formation energy at -0.3075 eV/atom.

---

(6)
The following is a PBE calculation of a geometry-optimized DyAlPb2 structure, from the Alexandria database.

Lattice parameters (Å, degrees): 5.0055 5.0055 15.0272 90.00 90.00 120.00
Space group R-3m (No. 166, hexagonal axes)
One atom of each set of equivalent atoms:
Dy1 0.0000 0.0000 0.0000 [3 per cell]
Al1 0.0000 0.0000 0.5000 [3 per cell]
Pb1 0.0000 0.0000 0.2324 [6 per cell]

Results
Its distance to the lowest polymorph of the same formula is 0.218 eV/atom. The calculation puts the formation energy at 0.0047 eV/atom.

---

(7)
The following is a PBE calculation of a geometry-optimized DyAl4Pb structure, from the Alexandria database.

Lattice parameters (Å, degrees): 7.945 7.945 7.945 90.00 90.00 90.00
Space group F-43m (No. 216)
One atom of each set of equivalent atoms:
Dy1 0.000 0.000 0.000 [4 per cell]
Al1 0.125 0.125 0.375 [16 per cell]
Pb1 0.250 0.250 0.750 [4 per cell]

Results
The calculation puts the formation energy at -0.1629 eV/atom.

---

(8)
The following is a PBE calculation of a geometry-optimized DyAlPb2 structure, from the Alexandria database.

Lattice parameters (Å, degrees): 4.732 4.732 4.644 90.00 90.00 90.00
Space group P4/mmm (No. 123)
One atom of each set of equivalent atoms:
Dy1 0.000 0.000 0.000 [1 per cell]
Al1 0.500 0.500 0.000 [1 per cell]
Pb1 0.000 0.500 0.500 [2 per cell]

Results
Its distance to the lowest polymorph of the same formula is 0.000 eV/atom. The calculation puts the formation energy at -0.2137 eV/atom.

---

(9)
The following is a PBE calculation of a geometry-optimized PmDyAlPb structure, from the Alexandria database.

Lattice parameters (Å, degrees): 7.575 7.575 7.575 90.00 90.00 90.00
Space group F-43m (No. 216)
One atom of each set of equivalent atoms:
Pm1 0.000 0.000 0.000 [4 per cell]
Dy1 0.000 0.000 0.500 [4 per cell]
Al1 0.250 0.250 0.250 [4 per cell]
Pb1 0.250 0.250 0.750 [4 per cell]

Results
The calculation puts the formation energy at -0.3384 eV/atom.

---

(10)
The following is a PBE calculation of a geometry-optimized DyAlPb2Se5 structure, from the Alexandria database.

Lattice parameters (Å, degrees): 4.066 18.569 13.326 90.00 90.00 90.00
Space group Cmc2_1 (No. 36)
One atom of each set of equivalent atoms:
Dy1 0.000 0.197 0.000 [4 per cell]
Al1 0.000 0.443 0.393 [4 per cell]
Pb1 0.000 0.117 0.299 [4 per cell]
Pb2 0.000 0.138 0.642 [4 per cell]
Se1 0.000 0.037 0.996 [4 per cell]
Se2 0.000 0.299 0.650 [4 per cell]
Se3 0.000 0.317 0.348 [4 per cell]
Se4 0.000 0.349 0.986 [4 per cell]
Se5 0.000 0.492 0.740 [4 per cell]

Results
For the raw formation energy, the calculation gives -9.1 eV per formula unit.

---

(11)
The following is a PBE calculation of a geometry-optimized DyAl2Pd structure, from the Alexandria database.

Lattice parameters (Å, degrees): 15.967 6.922 5.543 90.00 90.00 90.00
Space group Pnma (No. 62)
One atom of each set of equivalent atoms:
Dy1 0.107 0.250 0.229 [4 per cell]
Dy2 0.144 0.750 0.470 [4 per cell]
Al1 0.034 0.053 0.739 [8 per cell]
Al2 0.214 0.555 0.955 [8 per cell]
Pd1 0.072 0.750 0.991 [4 per cell]
Pd2 0.175 0.250 0.713 [4 per cell]

Results
The calculation puts the formation energy at -0.7676 eV/atom.

---

(12)
The following is a PBE calculation of a geometry-optimized Dy2AlPd structure, from the Alexandria database.

Lattice parameters (Å, degrees): 3.3541 3.3541 29.9217 90.00 90.00 120.00
Space group R-3m (No. 166, hexagonal axes)
One atom of each set of equivalent atoms:
Dy1 0.0000 0.0000 0.0875 [6 per cell]
Al1 0.0000 0.0000 0.5000 [3 per cell]
Pd1 0.0000 0.0000 0.0000 [3 per cell]

Results
Its distance to the lowest polymorph of the same formula is 0.586 eV/atom. The calculation puts the formation energy at -0.0564 eV/atom.

---

(13)
The following is a PBE calculation of a geometry-optimized Dy2Al9Pd3 structure, from the Alexandria database.

Lattice parameters (Å, degrees): 13.232 7.709 9.460 90.00 90.00 90.00
Space group Cmcm (No. 63)
One atom of each set of equivalent atoms:
Dy1 0.162 0.168 0.250 [8 per cell]
Al1 0.000 0.130 0.750 [4 per cell]
Al2 0.000 0.333 0.057 [8 per cell]
Al3 0.104 0.443 0.750 [8 per cell]
Al4 0.167 0.168 0.576 [16 per cell]
Pd1 0.000 0.000 0.000 [4 per cell]
Pd2 0.172 0.500 0.000 [8 per cell]

Results
The calculation puts the formation energy at -0.6906 eV/atom.

---

(14)
The following is a PBE calculation of a geometry-optimized Dy3Al8Pd3 structure, from the Alexandria database.

Lattice parameters (Å, degrees): 15.685 4.414 9.236 90.00 125.53 90.00
Space group C2/m (No. 12)
One atom of each set of equivalent atoms:
Dy1 0.000 0.000 0.000 [2 per cell]
Dy2 0.213 0.500 0.706 [4 per cell]
Al1 0.004 0.500 0.672 [4 per cell]
Al2 0.136 0.000 0.425 [4 per cell]
Al3 0.149 0.000 0.865 [4 per cell]
Al4 0.152 0.500 0.282 [4 per cell]
Pd1 0.000 0.000 0.500 [2 per cell]
Pd2 0.149 0.500 0.004 [4 per cell]

Results
Its distance to the lowest polymorph of the same formula is 0.000 eV/atom. The calculation puts the formation energy at -0.7000 eV/atom.

---

(15)
The following is a PBE calculation of a geometry-optimized Dy3Al8Pd3 structure, from the Alexandria database.

Lattice parameters (Å, degrees): 4.340 9.907 12.253 90.00 90.00 90.00
Space group Immm (No. 71)
One atom of each set of equivalent atoms:
Dy1 0.000 0.000 0.000 [2 per cell]
Dy2 0.000 0.000 0.312 [4 per cell]
Al1 0.000 0.283 0.123 [8 per cell]
Al2 0.000 0.367 0.337 [8 per cell]
Pd1 0.000 0.209 0.500 [4 per cell]
Pd2 0.000 0.500 0.000 [2 per cell]

Results
Its distance to the lowest polymorph of the same formula is 0.010 eV/atom. The calculation puts the formation energy at -0.6899 eV/atom.

---

(16)
The following is a PBE calculation of a geometry-optimized DyAl3Pd structure, from the Alexandria database.

Lattice parameters (Å, degrees): 8.323 4.158 10.956 90.00 90.00 90.00
Space group Pnma (No. 62)
One atom of each set of equivalent atoms:
Dy1 0.184 0.250 0.010 [4 per cell]
Al1 0.066 0.250 0.589 [4 per cell]
Al2 0.111 0.750 0.796 [4 per cell]
Al3 0.141 0.750 0.216 [4 per cell]
Pd1 0.102 0.250 0.358 [4 per cell]

Results
Its distance to the lowest polymorph of the same formula is 0.000 eV/atom. The calculation puts the formation energy at -0.6708 eV/atom.

---

(17)
The following is a PBE calculation of a geometry-optimized Dy2AlPd3 structure, from the Alexandria database.

Lattice parameters (Å, degrees): 4.275 5.418 10.929 90.00 90.00 90.00
Space group Immm (No. 71)
One atom of each set of equivalent atoms:
Dy1 0.000 0.000 0.186 [4 per cell]
Al1 0.000 0.000 0.500 [2 per cell]
Pd1 0.000 0.500 0.127 [4 per cell]
Pd2 0.000 0.500 0.500 [2 per cell]

Results
Its distance to the lowest polymorph of the same formula is 0.163 eV/atom. The calculation puts the formation energy at -0.7192 eV/atom.

---

(18)
The following is a PBE calculation of a geometry-optimized DyAlPd2 structure, from the Alexandria database.

Lattice parameters (Å, degrees): 4.603 4.603 3.435 90.00 90.00 90.00
Space group P4/mmm (No. 123)
One atom of each set of equivalent atoms:
Dy1 0.000 0.000 0.000 [1 per cell]
Al1 0.500 0.500 0.000 [1 per cell]
Pd1 0.000 0.500 0.500 [2 per cell]

Results
The calculation puts the formation energy at -0.7645 eV/atom.

---

(19)
The following is a PBE calculation of a geometry-optimized DyAlPd3 structure, from the Alexandria database.

Lattice parameters (Å, degrees): 6.628 7.986 7.219 90.00 90.00 90.00
Space group Pnma (No. 62)
One atom of each set of equivalent atoms:
Dy1 0.094 0.250 0.003 [4 per cell]
Al1 0.000 0.000 0.500 [4 per cell]
Pd1 0.186 0.250 0.389 [4 per cell]
Pd2 0.209 0.565 0.212 [8 per cell]

Results
The calculation puts the formation energy at -0.7005 eV/atom.